{"formula": "La2NdY8", "functional": "PBE", "state": "optimized geometry", "volume_a3_per_cell": 375.55, "delta_e_f_ev_per_atom": 0.157, "magnetic_moment_mub_per_cell": 0.000, "spacegroup": "No. 12", "lattice_angstrom": [[-3.738, 3.750, 2.774], [-8.194, -2.751, 2.933], [-0.869, -3.415, 8.572]], "species": ["Y", "Nd", "Y", "La", "Y", "La", "Y", "Y", "Y", "Y", "Y"], "frac_coords": [[0.165, 0.901, 0.772], [0.500, 0.000, 0.000], [0.835, 0.099, 0.228], [0.000, 0.304, 0.392], [0.702, 0.577, 0.000], [0.000, 0.696, 0.608], [0.165, 0.673, 0.228], [0.500, 0.790, 0.420], [0.500, 0.210, 0.580], [0.835, 0.327, 0.772], [0.298, 0.423, 0.000]]}

{"formula": "Sr3Er3ZnS8", "functional": "PBE", "state": "optimized geometry", "raw_formation_energy_ev_per_atom": -1.845, "volume_a3_per_cell": 369.18, "magnetic_moment_mub_per_cell": 0.000, "spacegroup": "No. 166", "lattice_angstrom": [[7.913, -0.001, 0.002], [-3.958, 6.852, -0.027], [0.002, -4.545, 6.826]], "species": ["Er", "Er", "Er", "Sr", "S", "S", "S", "S", "S", "Sr", "S", "S", "S", "Zn", "Sr"], "frac_coords": [[0.500, 0.500, 0.500], [0.500, 0.000, 0.500], [0.000, 0.500, 0.500], [0.000, 0.000, 0.000], [0.746, 0.980, 0.715], [0.766, 0.019, 0.285], [0.258, 0.516, 0.274], [0.234, 0.981, 0.715], [0.254, 0.020, 0.285], [0.000, 0.500, 0.000], [0.742, 0.484, 0.726], [0.766, 0.532, 0.286], [0.234, 0.468, 0.714], [0.000, 0.000, 0.500], [0.500, 0.500, 0.000]]}

{"formula": "TaAgSe2", "functional": "PBE", "state": "optimized geometry", "raw_formation_energy_ev_per_atom": -0.014, "volume_a3_per_cell": 84.31, "magnetic_moment_mub_per_cell": 0.000, "spacegroup": "No. 99", "lattice_angstrom": [[-0.267, -2.004, -2.346], [-1.540, -1.952, 1.845], [-7.591, 3.765, -2.352]], "species": ["Ag", "Se", "Ta", "Se"], "frac_coords": [[0.500, 0.500, 0.728], [0.000, 0.000, 0.956], [0.000, 0.000, 0.491], [0.500, 0.500, 0.325]]}